# 1
Entry from Alexandria: crystalline CaCdW at its relaxed geometry (PBE).

Lattice parameters (Å, degrees): 3.043 3.043 7.897 90.00 90.00 120.00
Atoms (fractional coordinates):
Ca1 0.000 0.000 0.000
Cd1 0.333 0.667 0.367
W1 0.667 0.333 0.678

Properties
- Space group: P3m1, No. 156
- E_form: 0.705 eV/atom
- DOS(E_F): 1.9 states/eV/cell
- Calculated volume: 63 Å³ per cell
- Magnetization: 0.0000 μB per atom
- Relative energy among the computed polymorphs: 0.1265 eV per atom

# 2
Entry from Alexandria: crystalline CeSi7Ir3 at its relaxed geometry (PBE).

Lattice parameters (Å, degrees): 8.087 8.087 8.087 56.69 56.69 56.69
Atoms (fractional coordinates):
Ce1 0.000 0.000 0.000
Ce2 0.500 0.500 0.500
Si1 0.065 0.851 0.672
Si2 0.149 0.328 0.935
Si3 0.172 0.351 0.565
Si4 0.250 0.250 0.250
Si5 0.328 0.935 0.149
Si6 0.351 0.565 0.172
Si7 0.435 0.828 0.649
Si8 0.565 0.172 0.351
Si9 0.649 0.435 0.828
Si10 0.672 0.065 0.851
Si11 0.750 0.750 0.750
Si12 0.828 0.649 0.435
Si13 0.851 0.672 0.065
Si14 0.935 0.149 0.328
Ir1 0.068 0.750 0.432
Ir2 0.250 0.568 0.932
Ir3 0.432 0.068 0.750
Ir4 0.568 0.932 0.250
Ir5 0.750 0.432 0.068
Ir6 0.932 0.250 0.568

Properties
- Space group: R-3c, No. 167
- Formation energy (no corrections): -0.6788 eV/atom
- DOS(E_F): 5.3 states/eV/cell
- Calculated volume: 345 Å³ per cell
- Magnetization: 0.0843 μB per atom

# 3
Entry from Alexandria: crystalline CdRe2Ir at its relaxed geometry (PBE).

Lattice parameters (Å, degrees): 2.792 3.928 5.854 90.00 90.00 90.00
Atoms (fractional coordinates):
Cd1 0.000 0.000 0.000
Re1 0.000 0.000 0.505
Re2 0.500 0.500 0.711
Ir1 0.500 0.500 0.260

Properties
- Space group: Pmm2, No. 25
- E_form: 0.308 eV/atom
- DOS(E_F): 3.1 states/eV/cell
- Calculated volume: 64 Å³ per cell
- Magnetization: 0.0000 μB per atom

# 4
Entry from Alexandria: crystalline Y2FeAsC at its relaxed geometry (PBE).

Lattice parameters (Å, degrees): 4.956 4.956 3.734 90.00 90.00 90.00
Atoms (fractional coordinates):
Y1 0.000 0.500 0.000
Y2 0.500 0.000 0.000
Fe1 0.000 0.000 0.500
As1 0.500 0.500 0.500
C1 0.000 0.000 0.000

Properties
- Space group: P4/mmm, No. 123
- E_form: -0.583 eV/atom
- DOS(E_F): 3.2 states/eV/cell
- Calculated volume: 92 Å³ per cell
- Magnetization: 0.2628 μB per atom

# 5
Entry from Alexandria: crystalline La4PmHo at its relaxed geometry (PBE).

Lattice parameters (Å, degrees): 7.063 7.063 9.881 90.00 90.00 118.52
Atoms (fractional coordinates):
La1 0.133 0.298 0.750
La2 0.178 0.822 0.577
La3 0.178 0.822 0.923
La4 0.298 0.133 0.250
La5 0.702 0.867 0.750
La6 0.822 0.178 0.077
La7 0.822 0.178 0.423
La8 0.867 0.702 0.250
Pm1 0.320 0.680 0.250
Pm2 0.680 0.320 0.750
Ho1 0.500 0.500 0.000
Ho2 0.500 0.500 0.500

Properties
- Space group: Cmcm, No. 63
- E_form: 0.184 eV/atom
- DOS(E_F): 21.0 states/eV/cell
- Calculated volume: 433 Å³ per cell
- Magnetization: 0.0000 μB per atom
- Relative energy among the computed polymorphs: 0.0874 eV per atom